PBE Hf2Ge, relaxed; energy = -8.377 eV/atom
1.0
0.000 3.182 3.182
3.182 0.000 3.182
3.182 3.182 0.000
Hf Ge
2 1
direct
0.250 0.250 0.250
0.750 0.750 0.750
0.000 0.000 0.000